Here is CaGe2MoOs after structural relaxation from the Alexandria database. Energies are from PBE.

```
5
Lattice="4.8567 0.0000 0.0000 0.0000 4.8437 0.0000 0.0000 0.0000 4.8567" Properties=species:S:1:pos:R:3 pbc="T T T"
Os 0.0000 2.4219 0.0000
Mo 0.0000 0.0000 0.0000
Ge 0.0000 0.0000 2.4283
Ge 2.4283 0.0000 0.0000
Ca 2.4283 2.4219 2.4283
```

Values from the calculation:
Size of the total moment ... 0.00 μB per cell
Energy of formation from the pure elements ... 0.525 eV per atom
ρ ... 6.853 g/cm3
Electronic total energy ... -6.134 eV/atom
DOS at the Fermi energy ... 4.82 states/eV per cell